A relaxed structure of Tb3Nd2Ho6Pu. Source: Alexandria via LeMat-Bulk, functional PBE.

abc: 6.1551 6.1551 11.7078
angles: 95.04 95.04 120.04
Closest atoms and distances in Å follow each position.
Positions (direct):
Tb 0.1669 0.8331 0.5000  6 Ho 3.53-3.55, 6 Tb 3.55-3.56
Tb 0.8331 0.1669 0.5000  6 Ho 3.53-3.55, 6 Tb 3.55-3.56
Tb 0.5000 0.5000 0.5000  6 Ho 3.53-3.55, 6 Tb 3.55
Nd 0.3335 0.6665 0.0000  6 Ho 3.55, 3 Nd 3.55, 3 Pu 3.55-3.56
Nd 0.6665 0.3335 0.0000  6 Ho 3.55, 3 Nd 3.55, 3 Pu 3.55-3.56
Ho 0.9168 0.5879 0.7497  6 Ho 3.51-3.58, 1 Pu 3.52, 3 Tb 3.53-3.55, 2 Nd 3.55
Ho 0.7542 0.7542 0.2504  6 Ho 3.51-3.58, 3 Tb 3.53-3.55, 1 Pu 3.53, 2 Nd 3.55
Ho 0.0832 0.4121 0.2503  6 Ho 3.51-3.58, 1 Pu 3.52, 3 Tb 3.53-3.55, 2 Nd 3.55
Ho 0.5879 0.9168 0.7497  6 Ho 3.51-3.58, 1 Pu 3.52, 3 Tb 3.53-3.55, 2 Nd 3.55
Ho 0.2458 0.2458 0.7496  6 Ho 3.51-3.58, 3 Tb 3.53-3.55, 1 Pu 3.53, 2 Nd 3.55
Ho 0.4121 0.0832 0.2503  6 Ho 3.51-3.58, 1 Pu 3.52, 3 Tb 3.53-3.55, 2 Nd 3.55
Pu 0.0000 0.0000 0.0000  6 Ho 3.52-3.53, 6 Nd 3.55-3.56

magnetic moment: 6.33 μB/cell
uncorrected energy: -5.39 eV per atom
energy of formation: 0.046 eV per atom